{
  "formula": "Ac7La12Pb",
  "functional": "GGA-PBE",
  "state": "relaxed",
  "lattice_angstrom": [[-3.4430, 1.4572, -8.5226], [-2.0946, -9.0309, -0.8170], [-8.4616, 1.5281, 3.5606]],
  "species": ["Ac", "Ac", "Ac", "Ac", "Ac", "Ac", "Ac", "La", "La", "La", "La", "La", "La", "La", "La", "La", "La", "La", "La", "Pb"],
  "frac_coords": [[0.2135, 0.6225, 0.7691], [0.3775, 0.2309, 0.7865], [0.2309, 0.7865, 0.3775], [0.5000, 0.5000, 0.5000], [0.7691, 0.2135, 0.6225], [0.6225, 0.7691, 0.2135], [0.7865, 0.3775, 0.2309], [0.0063, 0.3355, 0.8959], [0.6645, 0.1041, 0.9937], [0.4598, 0.1225, 0.3462], [0.8775, 0.6538, 0.5402], [0.1041, 0.9937, 0.6645], [0.6538, 0.5402, 0.8775], [0.3462, 0.4598, 0.1225], [0.8959, 0.0063, 0.3355], [0.1225, 0.3462, 0.4598], [0.5402, 0.8775, 0.6538], [0.3355, 0.8959, 0.0063], [0.9937, 0.6645, 0.1041], [0.0000, 0.0000, 0.0000]],
  "final_energy_ev_per_atom": -4.468,
  "space_group": "R-3, No. 148",
  "dos_ef_per_ev_cell": 37.81,
  "density_g_cm3": 7.136,
  "e_form_ev_per_fu": 2.2,
  "volume_a3_per_cell": 805.9,
  "m_tot_mub_per_atom": 0.000
}


{
  "formula": "Ac3La2Pb4",
  "functional": "GGA-PBE",
  "state": "relaxed",
  "lattice_angstrom": [[9.2464, 0.0000, 0.0000], [0.0000, 9.3307, 0.0000], [-4.6232, 0.0000, 8.1795]],
  "species": ["Ac", "Ac", "Ac", "Ac", "Ac", "Ac", "La", "La", "La", "La", "Pb", "Pb", "Pb", "Pb", "Pb", "Pb", "Pb", "Pb"],
  "frac_coords": [[0.0000, 0.0000, 0.0000], [0.5000, 0.5000, 0.0000], [0.5312, 0.7500, 0.5623], [0.9688, 0.2500, 0.4377], [0.4688, 0.2500, 0.4377], [0.0312, 0.7500, 0.5623], [0.0959, 0.5540, 0.1918], [0.9041, 0.4460, 0.8082], [0.4041, 0.0540, 0.8082], [0.5959, 0.9460, 0.1918], [0.7432, 0.7500, 0.9863], [0.7568, 0.2500, 0.0137], [0.2568, 0.2500, 0.0137], [0.2432, 0.7500, 0.9863], [0.2074, 0.9791, 0.4149], [0.7926, 0.0209, 0.5851], [0.2926, 0.4791, 0.5851], [0.7074, 0.5209, 0.4149]],
  "relative_energy_ev_per_atom": 0.1258,
  "final_energy_ev_per_atom": -4.496,
  "space_group": "Cmce, No. 64",
  "dos_ef_per_ev_cell": 11.71,
  "density_g_cm3": 8.413,
  "e_form_ev_per_fu": -3.5,
  "volume_a3_per_cell": 705.7,
  "m_tot_mub_per_atom": 0.000
}


{
  "formula": "Ac3La4Pb4",
  "functional": "GGA-PBE",
  "state": "relaxed",
  "lattice_angstrom": [[4.4750, 0.0000, 0.0000], [0.0000, 9.5027, 0.0000], [-2.2375, -4.7514, 9.5900]],
  "species": ["Ac", "Ac", "Ac", "La", "La", "La", "La", "Pb", "Pb", "Pb", "Pb"],
  "frac_coords": [[0.0980, 0.0980, 0.1961], [0.9020, 0.9020, 0.8039], [0.0000, 0.5000, 0.0000], [0.3304, 0.1576, 0.6607], [0.6696, 0.4969, 0.3393], [0.6696, 0.8424, 0.3393], [0.3304, 0.5031, 0.6607], [0.2676, 0.7676, 0.5352], [0.7324, 0.2324, 0.4648], [0.5000, 0.7799, 0.0000], [0.5000, 0.2201, 0.0000]],
  "final_energy_ev_per_atom": -4.703,
  "space_group": "Immm, No. 71",
  "dos_ef_per_ev_cell": 13.19,
  "density_g_cm3": 8.410,
  "e_form_ev_per_fu": -4.9,
  "volume_a3_per_cell": 407.8,
  "m_tot_mub_per_atom": 0.001
}


{
  "formula": "AcLaPb4",
  "functional": "GGA-PBE",
  "state": "relaxed",
  "lattice_angstrom": [[4.8423, 0.0000, -0.9928], [0.0000, 7.0093, 0.0000], [-0.0733, 0.0000, 11.9475]],
  "species": ["Ac", "Ac", "La", "La", "Pb", "Pb", "Pb", "Pb", "Pb", "Pb", "Pb", "Pb"],
  "frac_coords": [[0.7241, 0.2500, 0.4483], [0.2759, 0.7500, 0.5517], [0.4251, 0.2500, 0.8502], [0.5749, 0.7500, 0.1498], [0.0000, 0.0000, 0.0000], [0.0000, 0.5000, 0.0000], [0.1486, 0.0014, 0.2972], [0.8514, 0.5014, 0.7028], [0.1486, 0.4986, 0.2972], [0.8514, 0.9986, 0.7028], [0.5749, 0.2500, 0.1499], [0.4251, 0.7500, 0.8501]],
  "relative_energy_ev_per_atom": 0.0000,
  "final_energy_ev_per_atom": -4.408,
  "space_group": "Cmcm, No. 63",
  "dos_ef_per_ev_cell": 8.19,
  "density_g_cm3": 9.797,
  "e_form_ev_per_fu": -2.6,
  "volume_a3_per_cell": 405.0,
  "m_tot_mub_per_atom": 0.000
}


{
  "formula": "Ac6LaPb6",
  "functional": "GGA-PBE",
  "state": "relaxed",
  "lattice_angstrom": [[8.1207, -0.0039, 0.0000], [-4.0627, 7.0314, 0.0000], [0.0000, 0.0000, 9.6793]],
  "species": ["Ac", "Ac", "Ac", "Ac", "Ac", "Ac", "La", "Pb", "Pb", "Pb", "Pb", "Pb", "Pb"],
  "frac_coords": [[0.0000, 0.5000, 0.7453], [0.5000, 0.0000, 0.7453], [0.5000, 0.5000, 0.7452], [0.5000, 0.0000, 0.2547], [0.0000, 0.5000, 0.2547], [0.5000, 0.5000, 0.2548], [0.0000, 0.0000, 0.0000], [0.0000, 0.0000, 0.6633], [0.0000, 0.0000, 0.3367], [0.3335, 0.6665, 0.0000], [0.6665, 0.3335, 0.0000], [0.3334, 0.6666, 0.5000], [0.6666, 0.3334, 0.5000]],
  "final_energy_ev_per_atom": -4.246,
  "space_group": "P6/mmm, No. 191",
  "dos_ef_per_ev_cell": 16.24,
  "density_g_cm3": 8.247,
  "e_form_ev_per_fu": -3.4,
  "volume_a3_per_cell": 552.5,
  "m_tot_mub_per_atom": 0.000
}


{
  "formula": "AcLa2Pb",
  "functional": "GGA-PBE",
  "state": "relaxed",
  "lattice_angstrom": [[3.8622, 0.0000, 0.0000], [1.9311, 3.3447, 0.0000], [1.9311, 1.1149, 11.5374]],
  "species": ["Ac", "La", "La", "Pb"],
  "frac_coords": [[0.5002, 0.5002, 0.4993], [0.0767, 0.0767, 0.7700], [0.2568, 0.2568, 0.2296], [0.6663, 0.6663, 0.0011]],
  "relative_energy_ev_per_atom": 0.1776,
  "final_energy_ev_per_atom": -4.576,
  "space_group": "R3m, No. 160",
  "dos_ef_per_ev_cell": 5.36,
  "density_g_cm3": 7.933,
  "e_form_ev_per_fu": -0.6,
  "volume_a3_per_cell": 149.0,
  "m_tot_mub_per_atom": 0.000
}


{
  "formula": "AcLa4Pb2",
  "functional": "GGA-PBE",
  "state": "relaxed",
  "lattice_angstrom": [[-7.5455, -4.0018, -1.3207], [3.1853, -6.0841, 0.2370], [2.6799, 1.7567, 9.0783]],
  "species": ["Ac", "Ac", "La", "La", "La", "La", "La", "La", "La", "La", "Pb", "Pb", "Pb", "Pb"],
  "frac_coords": [[0.2480, 0.7500, 0.3566], [0.7520, 0.2500, 0.6434], [0.5464, 0.4931, 0.2123], [0.0849, 0.7500, 0.9032], [0.9151, 0.2500, 0.0968], [0.5464, 0.0069, 0.2123], [0.0492, 0.2500, 0.5086], [0.4536, 0.9931, 0.7877], [0.4536, 0.5069, 0.7877], [0.9508, 0.7500, 0.4914], [0.8069, 0.7500, 0.0809], [0.1931, 0.2500, 0.9191], [0.3303, 0.2500, 0.3844], [0.6697, 0.7500, 0.6156]],
  "final_energy_ev_per_atom": -4.775,
  "space_group": "P2_1/m, No. 11",
  "dos_ef_per_ev_cell": 18.25,
  "density_g_cm3": 7.885,
  "e_form_ev_per_fu": -2.2,
  "volume_a3_per_cell": 504.2,
  "m_tot_mub_per_atom": 0.000
}


{
  "formula": "AcLa5Pb3",
  "functional": "GGA-PBE",
  "state": "relaxed",
  "lattice_angstrom": [[7.0492, 0.0000, 0.0000], [0.0000, 10.0068, 0.0000], [0.0000, -5.0034, 8.6662]],
  "species": ["Ac", "Ac", "La", "La", "La", "La", "La", "La", "La", "La", "La", "La", "Pb", "Pb", "Pb", "Pb", "Pb", "Pb"],
  "frac_coords": [[0.0000, 0.0000, 0.0000], [0.5000, 0.0000, 0.0000], [0.0000, 0.6667, 0.3333], [0.5000, 0.3333, 0.6667], [0.0000, 0.3333, 0.6667], [0.5000, 0.6667, 0.3333], [0.7500, 0.6647, 0.6647], [0.7500, 0.0000, 0.3353], [0.7500, 0.3353, 0.0000], [0.2500, 0.3353, 0.3353], [0.2500, 0.0000, 0.6647], [0.2500, 0.6647, 0.0000], [0.7500, 0.3355, 0.3355], [0.7500, 0.0000, 0.6645], [0.7500, 0.6645, 0.0000], [0.2500, 0.6645, 0.6645], [0.2500, 0.0000, 0.3355], [0.2500, 0.3355, 0.0000]],
  "final_energy_ev_per_atom": -4.888,
  "space_group": "P6_3/mcm, No. 193",
  "dos_ef_per_ev_cell": 21.47,
  "density_g_cm3": 8.383,
  "e_form_ev_per_fu": -4.1,
  "volume_a3_per_cell": 611.3,
  "m_tot_mub_per_atom": 0.400
}